Entry from Alexandria via LeMat-Bulk: crystalline ZnGaCoF6 at its relaxed geometry (PBE with a Hubbard U).

**Fermi-level density of states**: 3.76 states/eV/f.u.
**V**: 224.9 Å³/cell
**Symmetry**: P-31c, No. 163
**VASP energy**: -4.412 eV per atom

Cell: 5.2993 5.2993 9.2477 Å, 90.00 90.00 120.00°
Fractional positions:
Zn1 0.3333 0.6667 0.2500
Zn2 0.6667 0.3333 0.7500
Ga1 0.3333 0.6667 0.7500
Ga2 0.6667 0.3333 0.2500
Co1 0.0000 0.0000 0.0000
Co2 0.0000 0.0000 0.5000
F1 0.0197 0.3643 0.6352
F2 0.0197 0.6554 0.8648
F3 0.3446 0.3643 0.8648
F4 0.3446 0.9803 0.6352
F5 0.3643 0.0197 0.1352
F6 0.3643 0.3446 0.3648
F7 0.6357 0.6554 0.6352
F8 0.6357 0.9803 0.8648
F9 0.6554 0.0197 0.3648
F10 0.6554 0.6357 0.1352
F11 0.9803 0.3446 0.1352
F12 0.9803 0.6357 0.3648